Below is an optimized crystal structure of HRhS2, with properties calculated at the PBE-GGA level.

## Properties
The symmetry is No. 8. For the calculated density, the calculation gives 4.2 g/cm3. The value obtained for the final energy is -5.075 eV per atom.

abc: 3.6267 3.6267 6.1693
angles: 106.88 106.88 59.98
Atoms (fractional coordinates):
H: 0.0000 0.0000 0.0000
Rh: 0.4753 0.4753 0.4294
S: 0.0808 0.0808 0.2432
S: 0.8767 0.8767 0.6361